(1)
28
Lattice="-4.2429 5.1033 5.3506 4.2429 -5.1033 5.3506 4.2429 5.1033 -5.3506" Properties=species:S:1:pos:R:3 comment="Pm2HfF11 PBE optimized geometry" crystal_system=orthorhombic pbc="T T T"
Pm 1.4266 1.9590 0.0000
Pm 5.6695 3.1443 0.0000
Pm -1.4266 1.9590 5.3506
Pm 2.8164 3.1443 5.3506
Hf 4.2429 0.0000 2.6753
Hf 0.0000 5.1033 2.6753
F 0.0000 0.0000 0.0000
F 4.9949 1.6447 -1.5748
F 5.8636 -0.7187 1.5083
F 3.3382 -3.2254 5.3506
F 4.9949 -1.6447 3.7758
F 2.6223 0.7187 1.5083
F 2.6223 -0.7187 3.8423
F 4.9949 1.6447 1.5748
F 3.3382 3.2254 0.0000
F 1.6207 5.8220 -1.5083
F 0.7520 3.4586 1.5748
F 0.0000 0.0000 5.3506
F 3.4910 1.6447 3.7758
F 2.6223 -0.7187 6.8589
F 0.9047 1.8779 5.3506
F -0.7520 3.4586 3.7758
F 1.6207 5.8220 1.5083
F 1.6207 4.3846 3.8423
F -0.7520 6.7480 1.5748
F 0.9047 8.3287 0.0000
F -1.6207 5.8220 3.8423
F -0.7520 3.4586 6.9254

(2)
5
Lattice="-2.1651 2.1651 6.6343 2.1651 -2.1651 6.6343 2.1651 2.1651 -6.6343" Properties=species:S:1:pos:R:3 comment="Mg2InHg2 PBE optimized geometry" polymorph_energy_mev_per_atom=100 delta_e_f_ev_per_atom=-0.0273 crystal_system=tetragonal pbc="T T T"
Mg 2.1651 0.0000 3.3171
Mg 0.0000 2.1651 3.3171
In 0.0000 0.0000 0.0000
Hg 0.0000 0.0000 5.2001
Hg 0.0000 0.0000 8.0684

E, respectively: -6.510; -1.334 eV per atom.